[1]
## FeCoAu2 (GGA-PBE)

Data for a geometry-optimized FeCoAu2 structure.

abc: 2.8078 3.8581 5.5247
angles: 90.00 90.00 90.00
Element x y z (fractional)
Au 0.0000 0.0000 0.4984
Au 0.0000 0.0000 0.0016
Co 0.5000 0.5000 0.2500
Fe 0.5000 0.5000 0.7500

Values from the calculation:
density of states at the Fermi level = 1.09 states/eV per atom
raw total energy = -21.26 eV per cell
total magnetization = 4.628 μB/f.u.

---

[2]
## FeCoAu (GGA-PBE)

Data for a geometry-optimized FeCoAu structure.

abc: 4.2324 4.2324 2.6809
angles: 90.00 90.00 120.00
Element x y z (fractional)
Au 0.0000 0.0000 0.9922
Co 0.3333 0.6667 0.4297
Fe 0.6667 0.3333 0.5781

Values from the calculation:
density of states at the Fermi level = 0.80 states/eV per atom
raw total energy = -18.25 eV per cell
total magnetization = 4.597 μB/f.u.

---

[3]
## FeCoAu2 (GGA-PBE)

Data for a geometry-optimized FeCoAu2 structure.

abc: 3.9285 3.9287 3.8694
angles: 90.00 90.00 90.00
Element x y z (fractional)
Au 0.5000 0.5000 0.0000
Au 0.0000 0.0000 0.0000
Fe 0.0000 0.5000 0.5000
Co 0.5000 0.0000 0.5000

Values from the calculation:
density of states at the Fermi level = 0.81 states/eV per atom
raw total energy = -21.31 eV per cell
total magnetization = 4.638 μB/f.u.

---

[4]
## FeCoAu2 (GGA-PBE)

Data for a geometry-optimized FeCoAu2 structure.

abc: 4.7626 4.7626 4.7912
angles: 80.02 80.02 34.51
Element x y z (fractional)
Co 0.7500 0.7500 0.7500
Fe 0.2500 0.2500 0.2500
Au 0.4987 0.4987 0.5012
Au 0.0013 0.0013 0.9988

Values from the calculation:
density of states at the Fermi level = 1.05 states/eV per atom
raw total energy = -21.03 eV per cell
total magnetization = 4.659 μB/f.u.

---

[5]
## FeCoAu2 (GGA-PBE)

Data for a geometry-optimized FeCoAu2 structure.

abc: 6.2097 4.7737 2.7916
angles: 90.07 63.17 121.23
Element x y z (fractional)
Co 0.0000 0.5000 0.5000
Au 0.0000 0.0000 0.0000
Au 0.5000 0.0000 0.5000
Fe 0.5000 0.5000 0.0000

Values from the calculation:
density of states at the Fermi level = 0.95 states/eV per atom
raw total energy = -21.26 eV per cell
total magnetization = 4.882 μB/f.u.

---

[6]
## FeCo2Au (GGA-PBE)

Data for a geometry-optimized FeCo2Au structure.

abc: 2.9380 2.8742 6.8079
angles: 65.14 90.00 90.00
Element x y z (fractional)
Au 0.5000 0.7500 0.7500
Co 0.0000 0.9623 0.0378
Co 0.0000 0.5377 0.4622
Fe 0.5000 0.2500 0.2500

Values from the calculation:
density of states at the Fermi level = 0.94 states/eV per atom
raw total energy = -25.52 eV per cell
total magnetization = 6.014 μB/f.u.

---

[7]
## FeCo2Au (GGA-PBE)

Data for a geometry-optimized FeCo2Au structure.

abc: 6.7036 6.7036 5.3786
angles: 51.45 51.45 90.00
Element x y z (fractional)
Fe 0.2500 0.7500 0.5000
Fe 0.5000 0.5000 0.0000
Co 0.8750 0.8454 0.7500
Co 0.5954 0.1250 0.2500
Co 0.1546 0.6250 0.2500
Co 0.3750 0.4046 0.7500
Au 0.0000 0.0000 0.0000
Au 0.7500 0.2500 0.5000

Values from the calculation:
density of states at the Fermi level = 1.26 states/eV per atom
raw total energy = -47.66 eV per cell
total magnetization = 6.316 μB/f.u.

---

[8]
## FeCoAu2 (GGA-PBE)

Data for a geometry-optimized FeCoAu2 structure.

abc: 4.8946 4.8946 4.8946
angles: 137.69 129.41 68.01
Element x y z (fractional)
Co 0.4758 0.4758 0.0000
Fe 0.2745 0.7745 0.5000
Au 0.0098 0.0098 0.0000
Au 0.7399 0.2399 0.5000

Values from the calculation:
density of states at the Fermi level = 0.63 states/eV per atom
raw total energy = -21.49 eV per cell
total magnetization = 4.678 μB/f.u.